(1)
# La6Nd2TmMg PBE relaxed
data_La6Nd2TmMg
_chemical_formula_sum 'La12 Nd4 Tm2 Mg2'
_symmetry_space_group_name_H-M 'P 1'
_symmetry_Int_Tables_number 1
_symmetry_space_group_name_Hall 'P 1'
_cell_length_a 9.490
_cell_length_b 8.758
_cell_length_c 8.758
_cell_angle_alpha 104.95
_cell_angle_beta 94.85
_cell_angle_gamma 94.85
loop_
_atom_site_label
_atom_site_type_symbol
_atom_site_fract_x
_atom_site_fract_y
_atom_site_fract_z
_atom_site_occupancy
La1 La 0.825 0.458 0.031 1
Mg1 Mg 0.250 0.404 0.596 1
La2 La 0.401 0.566 0.321 1
Nd1 Nd 0.091 0.265 0.199 1
La3 La 0.082 0.080 0.748 1
La4 La 0.418 0.252 0.920 1
Tm1 Tm 0.750 0.068 0.932 1
Nd2 Nd 0.909 0.735 0.801 1
Nd3 Nd 0.591 0.199 0.265 1
La5 La 0.175 0.542 0.969 1
La6 La 0.675 0.969 0.542 1
Mg2 Mg 0.750 0.596 0.404 1
La7 La 0.325 0.031 0.458 1
La8 La 0.918 0.920 0.252 1
Nd4 Nd 0.409 0.801 0.735 1
La9 La 0.582 0.748 0.080 1
Tm2 Tm 0.250 0.932 0.068 1
La10 La 0.099 0.679 0.434 1
La11 La 0.599 0.434 0.679 1
La12 La 0.901 0.321 0.566 1
# Total moment (Bohr magnetons per cell): 0.000
# Calculated formation energy (eV per atom): 0.09


(2)
# LiCdIn PBE relaxed
data_LiCdIn
_chemical_formula_sum 'Li1 Cd1 In1'
_symmetry_space_group_name_H-M 'P 1'
_symmetry_Int_Tables_number 1
_symmetry_space_group_name_Hall 'P 1'
_cell_length_a 7.070
_cell_length_b 7.070
_cell_length_c 3.075
_cell_angle_alpha 77.44
_cell_angle_beta 77.44
_cell_angle_gamma 25.12
loop_
_atom_site_label
_atom_site_type_symbol
_atom_site_fract_x
_atom_site_fract_y
_atom_site_fract_z
_atom_site_occupancy
In1 In 0.324 0.324 0.676 1
Li1 Li 0.663 0.663 0.337 1
Cd1 Cd 0.014 0.014 0.986 1
# Total moment (Bohr magnetons per cell): 0.000
# Calculated formation energy (eV per atom): -0.17
# E above lowest polymorph (meV/atom): 23


(3)
# Li6InSi PBE relaxed
data_Li6InSi
_chemical_formula_sum 'Li6 In1 Si1'
_symmetry_space_group_name_H-M 'P 1'
_symmetry_Int_Tables_number 1
_symmetry_space_group_name_Hall 'P 1'
_cell_length_a 4.490
_cell_length_b 4.490
_cell_length_c 7.908
_cell_angle_alpha 73.51
_cell_angle_beta 73.51
_cell_angle_gamma 60.00
loop_
_atom_site_label
_atom_site_type_symbol
_atom_site_fract_x
_atom_site_fract_y
_atom_site_fract_z
_atom_site_occupancy
In1 In 0.500 0.500 0.500 1
Li1 Li 0.370 0.370 0.891 1
Li2 Li 0.744 0.744 0.768 1
Li3 Li 0.883 0.883 0.352 1
Li4 Li 0.630 0.630 0.109 1
Li5 Li 0.117 0.117 0.648 1
Si1 Si 0.000 0.000 0.000 1
Li6 Li 0.256 0.256 0.232 1
# Total moment (Bohr magnetons per cell): 0.000
# Energy (eV per atom): -2.676


(4)
# Nd11Sm4Dy9 PBE relaxed
data_Nd11Sm4Dy9
_chemical_formula_sum 'Nd11 Sm4 Dy9'
_symmetry_space_group_name_H-M 'P 1'
_symmetry_Int_Tables_number 1
_symmetry_space_group_name_Hall 'P 1'
_cell_length_a 3.710
_cell_length_b 15.430
_cell_length_c 15.430
_cell_angle_alpha 112.99
_cell_angle_beta 90.00
_cell_angle_gamma 90.00
loop_
_atom_site_label
_atom_site_type_symbol
_atom_site_fract_x
_atom_site_fract_y
_atom_site_fract_z
_atom_site_occupancy
Nd1 Nd 0.000 0.290 0.290 1
Sm1 Sm 0.500 0.757 0.555 1
Dy1 Dy 0.500 0.500 0.500 1
Dy2 Dy 0.500 0.934 0.788 1
Dy3 Dy 0.500 0.066 0.212 1
Dy4 Dy 0.500 0.367 0.836 1
Nd2 Nd 0.000 0.956 0.594 1
Sm2 Sm 0.500 0.243 0.445 1
Nd3 Nd 0.000 0.160 0.840 1
Sm3 Sm 0.500 0.445 0.243 1
Dy5 Dy 0.500 0.788 0.934 1
Dy6 Dy 0.500 0.633 0.164 1
Nd4 Nd 0.000 0.406 0.044 1
Nd5 Nd 0.000 0.840 0.160 1
Dy7 Dy 0.500 0.164 0.633 1
Dy8 Dy 0.500 0.212 0.066 1
Nd6 Nd 0.000 0.710 0.710 1
Nd7 Nd 0.000 0.367 0.633 1
Nd8 Nd 0.000 0.633 0.367 1
Nd9 Nd 0.000 0.594 0.956 1
Nd10 Nd 0.000 0.000 0.000 1
Sm4 Sm 0.500 0.555 0.757 1
Nd11 Nd 0.000 0.044 0.406 1
Dy9 Dy 0.500 0.836 0.367 1
# Total moment (Bohr magnetons per cell): 0.000
# Calculated formation energy (eV per atom): 0.06


(5)
# CsRbTiBr6 PBE relaxed
data_CsRbTiBr6
_chemical_formula_sum 'Cs1 Rb1 Ti1 Br6'
_symmetry_space_group_name_H-M 'P 1'
_symmetry_Int_Tables_number 1
_symmetry_space_group_name_Hall 'P 1'
_cell_length_a 8.139
_cell_length_b 8.139
_cell_length_c 7.083
_cell_angle_alpha 90.02
_cell_angle_beta 89.98
_cell_angle_gamma 59.90
loop_
_atom_site_label
_atom_site_type_symbol
_atom_site_fract_x
_atom_site_fract_y
_atom_site_fract_z
_atom_site_occupancy
Br1 Br 0.334 0.586 0.290 1
Br2 Br 0.587 0.079 0.292 1
Br3 Br 0.586 0.334 0.709 1
Ti1 Ti 0.333 0.333 0.500 1
Rb1 Rb 0.666 0.666 0.500 1
Br4 Br 0.079 0.587 0.708 1
Cs1 Cs 0.000 0.000 0.000 1
Br5 Br 0.333 0.080 0.709 1
Br6 Br 0.080 0.333 0.291 1
# Total moment (Bohr magnetons per cell): 0.000
# Energy (eV per atom): -3.626


(6)
# ScHgI3 PBE relaxed
data_ScHgI3
_chemical_formula_sum 'Sc4 Hg4 I12'
_symmetry_space_group_name_H-M 'P 1'
_symmetry_Int_Tables_number 1
_symmetry_space_group_name_Hall 'P 1'
_cell_length_a 16.018
_cell_length_b 11.157
_cell_length_c 11.157
_cell_angle_alpha 80.17
_cell_angle_beta 125.20
_cell_angle_gamma 54.80
loop_
_atom_site_label
_atom_site_type_symbol
_atom_site_fract_x
_atom_site_fract_y
_atom_site_fract_z
_atom_site_occupancy
Hg1 Hg 0.395 0.965 0.954 1
I1 I 0.086 0.968 0.910 1
Sc1 Sc 0.750 0.457 0.957 1
Hg2 Hg 0.895 0.546 0.535 1
I2 I 0.919 0.783 0.860 1
Hg3 Hg 0.605 0.035 0.046 1
I3 I 0.914 0.032 0.090 1
I4 I 0.593 0.835 0.776 1
I5 I 0.093 0.724 0.665 1
Sc2 Sc 0.750 0.180 0.680 1
I6 I 0.907 0.276 0.335 1
I7 I 0.407 0.165 0.224 1
I8 I 0.581 0.360 0.283 1
I9 I 0.586 0.590 0.532 1
I10 I 0.419 0.640 0.717 1
I11 I 0.081 0.217 0.140 1
Sc3 Sc 0.250 0.543 0.043 1
Sc4 Sc 0.250 0.820 0.320 1
Hg4 Hg 0.105 0.454 0.465 1
I12 I 0.414 0.410 0.468 1
# Total moment (Bohr magnetons per cell): 0.000
# E above lowest polymorph (meV/atom): 51


(7)
# Ti2NbTc PBE relaxed
data_Ti2NbTc
_chemical_formula_sum 'Ti2 Nb1 Tc1'
_symmetry_space_group_name_H-M 'P 1'
_symmetry_Int_Tables_number 1
_symmetry_space_group_name_Hall 'P 1'
_cell_length_a 3.100
_cell_length_b 3.100
_cell_length_c 6.811
_cell_angle_alpha 90.00
_cell_angle_beta 90.00
_cell_angle_gamma 90.00
loop_
_atom_site_label
_atom_site_type_symbol
_atom_site_fract_x
_atom_site_fract_y
_atom_site_fract_z
_atom_site_occupancy
Ti1 Ti 0.000 0.000 0.780 1
Nb1 Nb 0.500 0.500 0.500 1
Ti2 Ti 0.000 0.000 0.220 1
Tc1 Tc 0.500 0.500 0.000 1
# Total moment (Bohr magnetons per cell): 0.000
# Calculated formation energy (eV per atom): -0.25
# E above lowest polymorph (meV/atom): 12


(8)
# Bi2PN PBE relaxed
data_Bi2PN
_chemical_formula_sum 'Bi4 P2 N2'
_symmetry_space_group_name_H-M 'P 1'
_symmetry_Int_Tables_number 1
_symmetry_space_group_name_Hall 'P 1'
_cell_length_a 5.975
_cell_length_b 5.975
_cell_length_c 7.351
_cell_angle_alpha 66.02
_cell_angle_beta 66.02
_cell_angle_gamma 90.00
loop_
_atom_site_label
_atom_site_type_symbol
_atom_site_fract_x
_atom_site_fract_y
_atom_site_fract_z
_atom_site_occupancy
P1 P 0.000 0.000 0.000 1
Bi1 Bi 0.875 0.813 0.750 1
N1 N 0.500 0.500 0.000 1
P2 P 0.750 0.250 0.500 1
N2 N 0.250 0.750 0.500 1
Bi2 Bi 0.187 0.625 0.250 1
Bi3 Bi 0.563 0.125 0.250 1
Bi4 Bi 0.375 0.437 0.750 1
# Total moment (Bohr magnetons per cell): 0.000
# E above lowest polymorph (meV/atom): 0